(P)
Here is a relaxed structure of FeH3Pd from the Alexandria database. Energies are from PBE.

Values from the calculation:
volume: 35.39 Å³/f.u.

Cell: 3.283 3.283 3.283 Å, 90.00 90.00 90.00°
Space group Pm-3m (No. 221)
Unique sites:
Fe 0.000 0.000 0.000
H 0.000 0.000 0.500
Pd 0.500 0.500 0.500



(Q)
Here is a relaxed structure of FeH3Pd from the Alexandria database. Energies are from PBE.

Values from the calculation:
volume: 35.87 Å³/f.u.

Cell: 2.645 4.967 5.460 Å, 90.00 90.00 90.00°
Space group Pmmn (No. 59, origin choice 2)
Unique sites:
Fe 0.250 0.250 0.020
H 0.250 0.579 0.125
H 0.250 0.750 0.740
Pd 0.250 0.250 0.512



Going by the energies, (Q) is most stable and the next is 4.8 kJ/mol of atoms up.



(P)
Here is a relaxed structure of FeHPd2 from the Alexandria database. Energies are from PBE.

Values from the calculation:
volume: 48.04 Å³/f.u.

Cell: 6.066 6.066 5.223 Å, 90.00 90.00 90.00°
Space group I-42d (No. 122)
Unique sites:
Fe 0.000 0.000 0.000
H 0.000 0.000 0.500
Pd 0.152 0.250 0.625



(Q)
Here is a relaxed structure of FeHPd2 from the Alexandria database. Energies are from PBE.

Values from the calculation:
volume: 50.01 Å³/f.u.

Cell: 5.849 5.849 5.849 Å, 90.00 90.00 90.00°
Space group Fm-3m (No. 225)
Unique sites:
Fe 0.000 0.000 0.000
H 0.000 0.000 0.500
Pd 0.250 0.250 0.250



(R)
Here is a relaxed structure of FeHPd2 from the Alexandria database. Energies are from PBE.

Values from the calculation:
volume: 46.13 Å³/f.u.

Cell: 7.455 4.552 2.728 Å, 90.00 94.70 90.00°
Space group C2 (No. 5)
Unique sites:
Fe 0.000 0.000 0.000
H 0.000 0.274 0.500
Pd 0.172 0.519 0.282



Going by the energies, (R) is most stable and the next is 7.1 kJ/mol of atoms up.